(1)
ErScAlRe, relaxed, DFT PBE; density = 9.0 g/cm³; final energy = -6.922 eV per atom
1.0
4.800 0.000 0.000
2.400 4.157 0.000
2.400 1.386 3.920
Re Er Al Sc
1 1 1 1
Direct
0.750 0.750 0.750
0.500 0.500 0.500
0.250 0.250 0.250
0.000 0.000 0.000

(2)
ErUAlRe, relaxed, DFT PBE; density = 13.3 g/cm³; final energy = -7.873 eV per atom
1.0
4.786 0.000 0.000
2.393 4.144 0.000
2.393 1.381 3.907
Er Re U Al
1 1 1 1
Direct
0.500 0.500 0.500
0.000 0.000 0.000
0.250 0.250 0.250
0.750 0.750 0.750

(3)
Er4AlRh, relaxed, DFT PBE; distance to the lowest polymorph of the same formula = 100.6 meV per atom; density = 8.5 g/cm³; final energy = -5.335 eV per atom
1.0
-5.187 -1.497 2.465
4.789 -6.652 0.822
2.314 6.316 4.170
Er Al Rh
8 2 2
Direct
0.218 0.294 0.353
0.044 0.219 0.859
0.365 0.941 0.647
0.316 0.640 0.859
0.635 0.059 0.353
0.782 0.706 0.647
0.956 0.781 0.141
0.684 0.360 0.141
0.622 0.372 0.744
0.378 0.628 0.256
0.249 0.999 0.999
0.751 0.001 0.001

(4)
Er2Al5Rh, relaxed, DFT PBE; density = 6.1 g/cm³; final energy = -4.840 eV per atom
1.0
-0.851 -1.584 5.658
5.563 1.363 -1.562
-2.419 5.147 -1.703
Al Er Rh
5 2 1
Direct
0.000 0.236 0.236
0.000 0.289 0.730
0.441 0.730 0.730
0.000 0.730 0.289
0.559 0.289 0.289
0.500 0.763 0.263
0.500 0.263 0.763
0.000 0.923 0.923

(5)
Er2Al9Rh3, relaxed, DFT PBE; density = 6.3 g/cm³; final energy = -5.462 eV per atom
1.0
6.972 -0.039 -2.925
-4.108 6.348 -0.003
0.285 0.217 10.407
Er Al Rh
4 18 6
Direct
0.997 0.587 0.750
0.663 0.752 0.250
0.003 0.413 0.250
0.337 0.248 0.750
0.882 0.132 0.750
0.459 0.920 0.748
0.462 0.814 0.446
0.119 0.141 0.428
0.132 0.984 0.946
0.328 0.289 0.248
0.538 0.186 0.554
0.541 0.080 0.252
0.786 0.308 0.928
0.217 0.524 0.575
0.783 0.476 0.425
0.214 0.692 0.072
0.881 0.859 0.572
0.449 0.641 0.925
0.868 0.016 0.054
0.118 0.868 0.250
0.672 0.711 0.752
0.551 0.359 0.075
0.827 0.656 0.999
0.500 0.000 0.000
0.173 0.344 0.001
0.157 0.828 0.501
0.843 0.172 0.499
0.500 0.500 0.500

(6)
Er4AlRh, relaxed, DFT PBE; distance to the lowest polymorph of the same formula = 0.0 meV per atom; density = 8.9 g/cm³; final energy = -5.435 eV per atom
1.0
-7.365 5.485 2.197
-0.241 4.475 8.311
1.036 9.379 0.344
Al Er Rh
4 16 4
Direct
0.484 0.172 0.172
0.172 0.172 0.172
0.172 0.172 0.484
0.172 0.484 0.172
0.556 0.944 0.556
0.397 0.397 0.808
0.813 0.813 0.187
0.813 0.187 0.813
0.944 0.556 0.556
0.187 0.813 0.187
0.556 0.556 0.944
0.397 0.808 0.397
0.397 0.397 0.397
0.187 0.187 0.813
0.556 0.944 0.944
0.944 0.944 0.556
0.813 0.187 0.187
0.808 0.397 0.397
0.944 0.556 0.944
0.187 0.813 0.813
0.608 0.608 0.608
0.608 0.177 0.608
0.177 0.608 0.608
0.608 0.608 0.177

Number 1: energy of formation -0.15 eV per atom. Number 2: energy of formation 0.14 eV per atom. Number 3: energy of formation -0.44 eV per atom. Number 4: energy of formation -0.44 eV per atom. Number 5: energy of formation -0.83 eV per atom. Number 6: energy of formation -0.54 eV per atom.